{"formula": "RbCu2MoF8", "functional": "PBE+U", "state": "relaxed", "lattice_angstrom": [[5.211, -0.704, 0.561], [1.780, 4.948, 0.561], [1.360, 0.826, 7.685]], "species": ["F", "F", "F", "F", "F", "F", "F", "F", "Rb", "Cu", "Cu", "Mo"], "fractional_positions": [[0.738, 0.738, 0.061], [0.763, 0.181, 0.189], [0.181, 0.763, 0.189], [0.262, 0.262, 0.939], [0.819, 0.237, 0.811], [0.654, 0.654, 0.496], [0.237, 0.819, 0.811], [0.346, 0.346, 0.504], [0.000, 0.000, 0.500], [0.451, 0.451, 0.711], [0.549, 0.549, 0.289], [0.000, 0.000, 0.000]], "mass_density_kg_m3": 3787, "spacegroup": "No. 12", "total_energy_ev_per_atom": -4.68, "m_tot_mub_per_fu": 3.00, "vol_a3_per_fu": 202, "dos_at_fermi_per_ev_atom": 0.423}